Record 1
## Os2Ru (GGA-PBE)

Data for a relaxed structure of Os2Ru.

## Properties
The value obtained for the formation energy is -0.006 eV per atom. The spin magnetization is 0.00 μB/f.u. The value obtained for the polymorph energy (0 for the lowest one) is 1.2 kJ/mol of atoms. The total DFT energy (no corrections) comes out at -10.58 eV/atom.

```
data_Os2Ru
_symmetry_space_group_name_H-M 'C 1 2/m 1'
_symmetry_Int_Tables_number 12
_cell_length_a 9.897
_cell_length_b 2.744
_cell_length_c 6.434
_cell_angle_alpha 90.00
_cell_angle_beta 103.68
_cell_angle_gamma 90.00
loop_
_symmetry_equiv_pos_as_xyz
'x,y,z'
'-x,-y,-z'
'-x,y,-z'
'x,-y,z'
'x+1/2,y+1/2,z'
'-x+1/2,-y+1/2,-z'
'-x+1/2,y+1/2,-z'
'x+1/2,-y+1/2,z'
loop_
_atom_site_label
_atom_site_fract_x
_atom_site_fract_y
_atom_site_fract_z
Os1 0.029 0.000 0.305
Os2 0.139 0.500 0.027
Ru1 0.193 0.500 0.638
```

Record 2
## ZrPtBr (GGA-PBE)

Data for a relaxed structure of ZrPtBr.

## Properties
The spin magnetization is 0.00 μB/f.u. The value obtained for the polymorph energy (0 for the lowest one) is 30.4 kJ/mol of atoms. The formation energy from raw total energies comes out at -421 meV per atom. The total DFT energy (no corrections) comes out at -5.84 eV/atom.

```
data_ZrPtBr
_symmetry_space_group_name_H-M 'F -4 3 m'
_symmetry_Int_Tables_number 216
_symmetry_space_group_name_Hall 'F -4 2 3'
_cell_length_a 6.523
_cell_length_b 6.523
_cell_length_c 6.523
_cell_angle_alpha 90.00
_cell_angle_beta 90.00
_cell_angle_gamma 90.00
loop_
_atom_site_label
_atom_site_fract_x
_atom_site_fract_y
_atom_site_fract_z
Zr1 0.000 0.000 0.000
Pt1 0.250 0.250 0.750
Br1 0.250 0.250 0.250
```

Record 3
## Cs2Ca3I8 (GGA-PBE)

Data for a relaxed structure of Cs2Ca3I8.

## Properties
The spin magnetization is 0.00 μB/f.u. The formation energy from raw total energies comes out at -1603 meV per atom. The total DFT energy (no corrections) comes out at -3.15 eV/atom.

```
data_Cs2Ca3I8
_symmetry_space_group_name_H-M 'C 1 2/m 1'
_symmetry_Int_Tables_number 12
_cell_length_a 18.680
_cell_length_b 9.381
_cell_length_c 8.129
_cell_angle_alpha 90.00
_cell_angle_beta 107.50
_cell_angle_gamma 90.00
loop_
_symmetry_equiv_pos_as_xyz
'x,y,z'
'-x,-y,-z'
'-x,y,-z'
'x,-y,z'
'x+1/2,y+1/2,z'
'-x+1/2,-y+1/2,-z'
'-x+1/2,y+1/2,-z'
'x+1/2,-y+1/2,z'
loop_
_atom_site_label
_atom_site_fract_x
_atom_site_fract_y
_atom_site_fract_z
Cs1 0.237 0.000 0.170
Ca1 0.000 0.242 0.500
Ca2 0.000 0.500 0.000
I1 0.097 0.500 0.398
I2 0.098 0.269 0.890
I3 0.107 0.000 0.454
```

Record 4
## Ta2CuRh (GGA-PBE)

Data for a relaxed structure of Ta2CuRh.

## Properties
The value obtained for the formation energy is 0.326 eV per atom. The spin magnetization is 0.00 μB/f.u. The total DFT energy (no corrections) comes out at -8.46 eV/atom.

```
data_Ta2CuRh
_symmetry_space_group_name_H-M 'I -4 2 d'
_symmetry_Int_Tables_number 122
_symmetry_space_group_name_Hall 'I -4 2bw'
_cell_length_a 7.110
_cell_length_b 7.110
_cell_length_c 5.381
_cell_angle_alpha 90.00
_cell_angle_beta 90.00
_cell_angle_gamma 90.00
loop_
_atom_site_label
_atom_site_fract_x
_atom_site_fract_y
_atom_site_fract_z
Ta1 0.236 0.250 0.125
Cu1 0.000 0.000 0.500
Rh1 0.000 0.000 0.000
```

Record 5
## BaLiCdAu (GGA-PBE)

Data for a relaxed structure of BaLiCdAu.

## Properties
The value obtained for the formation energy is -0.308 eV per atom. The spin magnetization is 0.00 μB/f.u. The value obtained for the polymorph energy (0 for the lowest one) is 15.4 kJ/mol of atoms. The total DFT energy (no corrections) comes out at -2.32 eV/atom.

```
data_BaLiCdAu
_symmetry_space_group_name_H-M 'F -4 3 m'
_symmetry_Int_Tables_number 216
_symmetry_space_group_name_Hall 'F -4 2 3'
_cell_length_a 7.744
_cell_length_b 7.744
_cell_length_c 7.744
_cell_angle_alpha 90.00
_cell_angle_beta 90.00
_cell_angle_gamma 90.00
loop_
_atom_site_label
_atom_site_fract_x
_atom_site_fract_y
_atom_site_fract_z
Ba1 0.000 0.000 0.000
Li1 0.000 0.000 0.500
Cd1 0.250 0.250 0.750
Au1 0.250 0.250 0.250
```

Record 6
## K2BiAuBr (GGA-PBE)

Data for a relaxed structure of K2BiAuBr.

## Properties
The spin magnetization is 0.00 μB/f.u. The formation energy from raw total energies comes out at -107 meV per atom. The total DFT energy (no corrections) comes out at -2.31 eV/atom.

```
data_K2BiAuBr
_symmetry_space_group_name_H-M 'P 4/m m m'
_symmetry_Int_Tables_number 123
_symmetry_space_group_name_Hall '-P 4 2'
_cell_length_a 6.913
_cell_length_b 6.913
_cell_length_c 5.603
_cell_angle_alpha 90.00
_cell_angle_beta 90.00
_cell_angle_gamma 90.00
loop_
_atom_site_label
_atom_site_fract_x
_atom_site_fract_y
_atom_site_fract_z
K1 0.000 0.500 0.000
Bi1 0.000 0.000 0.000
Au1 0.500 0.500 0.500
Br1 0.000 0.000 0.500
```

Record 7
## YLuNiPd (GGA-PBE)

Data for a relaxed structure of YLuNiPd.

## Properties
The value obtained for the formation energy is -0.655 eV per atom. The spin magnetization is 0.00 μB/f.u. The total DFT energy (no corrections) comes out at -6.14 eV/atom.

```
data_YLuNiPd
_symmetry_space_group_name_H-M 'F -4 3 m'
_symmetry_Int_Tables_number 216
_symmetry_space_group_name_Hall 'F -4 2 3'
_cell_length_a 6.848
_cell_length_b 6.848
_cell_length_c 6.848
_cell_angle_alpha 90.00
_cell_angle_beta 90.00
_cell_angle_gamma 90.00
loop_
_atom_site_label
_atom_site_fract_x
_atom_site_fract_y
_atom_site_fract_z
Y1 0.000 0.000 0.000
Lu1 0.000 0.000 0.500
Ni1 0.250 0.250 0.250
Pd1 0.250 0.250 0.750
```

Record 8
## AsRu (GGA-PBE)

Data for a relaxed structure of AsRu.

## Properties
The value obtained for the formation energy is 0.321 eV per atom. The spin magnetization is 0.00 μB/f.u. The total DFT energy (no corrections) comes out at -6.64 eV/atom.

```
data_AsRu
_symmetry_space_group_name_H-M 'P m -3 n'
_symmetry_Int_Tables_number 223
_symmetry_space_group_name_Hall '-P 4n 2 3'
_cell_length_a 6.723
_cell_length_b 6.723
_cell_length_c 6.723
_cell_angle_alpha 90.00
_cell_angle_beta 90.00
_cell_angle_gamma 90.00
loop_
_atom_site_label
_atom_site_fract_x
_atom_site_fract_y
_atom_site_fract_z
As1 0.000 0.250 0.500
Ru1 0.000 0.500 0.250
```

Record 9
## Nd9ErSc2 (GGA-PBE)

Data for a relaxed structure of Nd9ErSc2.

## Properties
The value obtained for the formation energy is 0.031 eV per atom. The spin magnetization is 0.00 μB/f.u. The total DFT energy (no corrections) comes out at -4.98 eV/atom.

```
data_Nd9ErSc2
_symmetry_space_group_name_H-M 'P 4/m m m'
_symmetry_Int_Tables_number 123
_symmetry_space_group_name_Hall '-P 4 2'
_cell_length_a 5.081
_cell_length_b 5.081
_cell_length_c 15.257
_cell_angle_alpha 90.00
_cell_angle_beta 90.00
_cell_angle_gamma 90.00
loop_
_atom_site_label
_atom_site_fract_x
_atom_site_fract_y
_atom_site_fract_z
Nd1 0.000 0.000 0.000
Nd2 0.000 0.000 0.335
Nd3 0.000 0.500 0.170
Nd4 0.000 0.500 0.500
Er1 0.500 0.500 0.000
Sc1 0.500 0.500 0.335
```

Record 10
## Na2YGe2 (GGA-PBE)

Data for a relaxed structure of Na2YGe2.

## Properties
The value obtained for the formation energy is -0.145 eV per atom. The spin magnetization is 0.00 μB/f.u. The value obtained for the polymorph energy (0 for the lowest one) is 14.3 kJ/mol of atoms. The total DFT energy (no corrections) comes out at -3.81 eV/atom.

```
data_Na2YGe2
_symmetry_space_group_name_H-M 'P 4/m b m'
_symmetry_Int_Tables_number 127
_symmetry_space_group_name_Hall '-P 4 2ab'
_cell_length_a 7.420
_cell_length_b 7.420
_cell_length_c 4.751
_cell_angle_alpha 90.00
_cell_angle_beta 90.00
_cell_angle_gamma 90.00
loop_
_atom_site_label
_atom_site_fract_x
_atom_site_fract_y
_atom_site_fract_z
Na1 0.169 0.331 0.000
Y1 0.000 0.000 0.500
Ge1 0.117 0.617 0.500
```

Repeat the first record exactly.
## Os2Ru (GGA-PBE)

Data for a relaxed structure of Os2Ru.

## Properties
The value obtained for the formation energy is -0.006 eV per atom. The spin magnetization is 0.00 μB/f.u. The value obtained for the polymorph energy (0 for the lowest one) is 1.2 kJ/mol of atoms. The total DFT energy (no corrections) comes out at -10.58 eV/atom.

```
data_Os2Ru
_symmetry_space_group_name_H-M 'C 1 2/m 1'
_symmetry_Int_Tables_number 12
_cell_length_a 9.897
_cell_length_b 2.744
_cell_length_c 6.434
_cell_angle_alpha 90.00
_cell_angle_beta 103.68
_cell_angle_gamma 90.00
loop_
_symmetry_equiv_pos_as_xyz
'x,y,z'
'-x,-y,-z'
'-x,y,-z'
'x,-y,z'
'x+1/2,y+1/2,z'
'-x+1/2,-y+1/2,-z'
'-x+1/2,y+1/2,-z'
'x+1/2,-y+1/2,z'
loop_
_atom_site_label
_atom_site_fract_x
_atom_site_fract_y
_atom_site_fract_z
Os1 0.029 0.000 0.305
Os2 0.139 0.500 0.027
Ru1 0.193 0.500 0.638
```